# NaCaRe2 | Alexandria | PBE | relaxed
# **E**: -87.76 eV for the cell shown
# **DFT formation energy**: 1.57 eV/atom
# **Energy above the lowest structure with this stoichiometry**: 0 meV/atom
# **Total magnetization**: 2.6 μB per cell
data_NaCaRe2
_chemical_formula_sum 'Na4 Ca4 Re8'
_symmetry_space_group_name_H-M 'I -4 2 d'
_symmetry_Int_Tables_number 122
_symmetry_space_group_name_Hall 'I -4 2bw'
_cell_length_a 8.202
_cell_length_b 8.202
_cell_length_c 4.914
_cell_angle_alpha 90.00
_cell_angle_beta 90.00
_cell_angle_gamma 90.00
loop_
_atom_site_label
_atom_site_type_symbol
_atom_site_fract_x
_atom_site_fract_y
_atom_site_fract_z
Na1 Na 0.000 0.000 0.000
Ca1 Ca 0.000 0.000 0.500
Re1 Re 0.218 0.250 0.125